The following is a GGA-PBE calculation of crystalline RbPaGeO5 at its relaxed geometry, from Alexandria via LeMat-Bulk.

Lattice parameters (Å, degrees): 7.5770 9.9525 8.1757 90.00 115.69 90.00
Last column: nearest neighbours and their distance in Å.
Space group C2/c (No. 15)
Unique sites:
Rb  0.0000  0.1672  0.2500 [4 per cell]  7 O 2.74-3.06
Pa  0.0000  0.5000  0.0000 [4 per cell]  6 O 2.12-2.23
Ge  0.0000  0.1878  0.7500 [4 per cell]  4 O 1.79
O  0.0000  0.4423  0.2500 [4 per cell]  2 Pa 2.12
O  0.0773  0.2937  0.6160 [8 per cell]  1 Ge 1.79
O  0.1962  0.0791  0.8880 [8 per cell]  1 Ge 1.79

Calculated values
VASP energy   -242.29 eV/cell
Total moment   0.0 Bohr magnetons per cell
Energy relative to the elements, uncorrected   -2.588 eV per atom